Pm3Zn2Ge3: optimized geometry, PBE-GGA.

Crystal system = orthorhombic
Total magnetic moment = 0.0 μB/f.u.
Formation energy from the elements = -644 meV/atom
Offset from the most stable computed form = 0.0180 eV/atom

abc: 5.9371 5.9371 15.3664
angles: 90.00 90.00 138.10
Last column: nearest neighbours and their distance in Å.
Sites, in units of the cell vectors:
Pm (0.0664, 0.9336, 0.7500)  5 Ge 3.01-3.30, 4 Zn 3.05
Pm (0.3611, 0.6389, 0.5965)  7 Ge 3.14-3.33, 4 Zn 3.19-3.35
Pm (0.3611, 0.6389, 0.9035)  7 Ge 3.14-3.33, 4 Zn 3.19-3.35
Pm (0.6389, 0.3611, 0.0965)  7 Ge 3.14-3.33, 4 Zn 3.19-3.35
Pm (0.6389, 0.3611, 0.4035)  7 Ge 3.14-3.33, 4 Zn 3.19-3.35
Pm (0.9336, 0.0664, 0.2500)  5 Ge 3.01-3.30, 4 Zn 3.05
Zn (0.3503, 0.6497, 0.1211)  3 Ge 2.47-2.55
Zn (0.3503, 0.6497, 0.3789)  3 Ge 2.47-2.55
Zn (0.6497, 0.3503, 0.6211)  3 Ge 2.47-2.55
Zn (0.6497, 0.3503, 0.8789)  3 Ge 2.47-2.55
Ge (0.0847, 0.9153, 0.5530)  2 Zn 2.47, 1 Ge 2.49
Ge (0.0847, 0.9153, 0.9470)  2 Zn 2.47, 1 Ge 2.49
Ge (0.2052, 0.7948, 0.2500)  2 Zn 2.55
Ge (0.7948, 0.2052, 0.7500)  2 Zn 2.55
Ge (0.9153, 0.0847, 0.0530)  2 Zn 2.47, 1 Ge 2.49
Ge (0.9153, 0.0847, 0.4470)  2 Zn 2.47, 1 Ge 2.49